First-principles (PBE) data for an optimized crystal structure of Ca2PbAu7, as listed in Alexandria via LeMat-Bulk.

POSCAR file:
```
Ca2PbAu7
1.0
-2.5241 2.6893 6.4130
0.0095 -4.2521 6.0539
4.7117 1.4342 5.5202
Au Ca Pb
7 2 1
Direct
0.2538 0.7462 0.7462 Au
0.2538 0.7462 0.2538 Au
0.2538 0.2538 0.7462 Au
0.7462 0.2538 0.2538 Au
0.7462 0.7462 0.2538 Au
0.5000 0.5000 0.5000 Au
0.7462 0.2538 0.7462 Au
0.2500 0.2500 0.2500 Ca
0.7500 0.7500 0.7500 Ca
0.0000 0.0000 0.0000 Pb
```

Calculated values
* V: 286.3 Å³/cell
* energy of formation from the pure elements: 0.012 eV per atom
* space-group type: No. 225

=====

First-principles (PBE) data for an optimized crystal structure of Y2Ag2Rh, as listed in Alexandria via LeMat-Bulk.

POSCAR file:
```
Y2Ag2Rh
1.0
7.3787 0.0000 0.0000
0.0000 7.3787 0.0000
0.0000 0.0000 4.0896
Y Ag Rh
4 4 2
Direct
0.6804 0.8196 0.5000 Y
0.3196 0.1804 0.5000 Y
0.8196 0.3196 0.5000 Y
0.1804 0.6804 0.5000 Y
0.8711 0.6289 0.0000 Ag
0.6289 0.1289 0.0000 Ag
0.3711 0.8711 0.0000 Ag
0.1289 0.3711 0.0000 Ag
0.0000 0.0000 0.0000 Rh
0.5000 0.5000 0.0000 Rh
```

Calculated values
* V: 222.7 Å³/cell
* energy of formation from the pure elements: -0.228 eV per atom
* space-group type: No. 127

=====

First-principles (PBE) data for an optimized crystal structure of Nb2CoCu, as listed in Alexandria via LeMat-Bulk.

POSCAR file:
```
Nb2CoCu
1.0
-3.5141 -0.5048 1.3746
0.4321 -3.8873 -0.3229
1.4464 -0.1421 3.6455
Cu Co Nb
1 1 2
Direct
0.5000 0.5000 0.5000 Cu
0.5000 0.0000 0.0000 Co
0.0000 0.5000 0.0000 Nb
0.0000 0.0000 0.5000 Nb
```

Calculated values
* distance to the lowest polymorph of the same formula: 0 meV per atom
* V: 58.6 Å³/cell
* energy of formation from the pure elements: 0.018 eV per atom
* space-group type: No. 123

=====

no.,magnetization (μB per formula unit),N(E_F) (states/eV/cell)
1,0.0,4.9
2,0.0,8.6
3,0.0,3.4